Record 1
An optimized crystal structure of NbSbBr3, computed with GGA-PBE.

Geometry as POSCAR:
```
NbSbBr3
1.0
5.380 0.000 0.000
0.000 5.380 0.000
0.000 0.000 5.380
Nb Sb Br
1 1 3
Cartesian
0.000 0.000 0.000 Nb
2.690 2.690 2.690 Sb
0.000 0.000 2.690 Br
0.000 2.690 0.000 Br
2.690 0.000 0.000 Br
```

Computed properties:
The polymorph energy (0 for the lowest one) is 0 meV/atom. The crystal system is cubic. The value obtained for the uncorrected formation energy is 0.50 eV/f.u. The calculation puts the mass density at 4.85 g/cm3. As for the total magnetic moment: 1.00 μB/atom.



Record 2
An optimized crystal structure of CaNdAlAu, computed with GGA-PBE.

Geometry as POSCAR:
```
CaNdAlAu
1.0
7.412 0.000 0.000
0.000 7.412 0.000
0.000 0.000 7.412
Ca Nd Al Au
4 4 4 4
Cartesian
0.000 0.000 0.000 Ca
0.000 3.706 3.706 Ca
3.706 0.000 3.706 Ca
3.706 3.706 0.000 Ca
0.000 0.000 3.706 Nd
0.000 3.706 0.000 Nd
3.706 0.000 0.000 Nd
3.706 3.706 3.706 Nd
1.853 1.853 1.853 Al
1.853 5.559 5.559 Al
5.559 1.853 5.559 Al
5.559 5.559 1.853 Al
1.853 1.853 5.559 Au
1.853 5.559 1.853 Au
5.559 1.853 1.853 Au
5.559 5.559 5.559 Au
```

Computed properties:
The crystal system is cubic. The calculation puts the mass density at 6.66 g/cm3. As for the formation energy: -509 meV per atom. As for the total magnetic moment: 0.00 μB/atom.



Record 3
An optimized crystal structure of RbAg2IrF8, computed with GGA-PBE.

Geometry as POSCAR:
```
RbAg2IrF8
1.0
4.815 0.000 0.000
-0.781 5.483 0.000
-0.325 -0.300 7.719
Rb Ag Ir F
1 2 1 8
Cartesian
0.000 0.000 0.000 Rb
1.535 2.485 5.888 Ag
2.175 2.698 1.830 Ag
-0.162 -0.150 3.859 Ir
-0.189 4.213 2.459 F
-0.157 4.195 5.225 F
1.320 1.155 3.916 F
1.684 3.998 0.042 F
2.026 1.185 7.676 F
2.390 4.028 3.803 F
3.867 0.989 2.493 F
3.899 0.970 5.260 F
```

Computed properties:
The crystal system is triclinic. The value obtained for the uncorrected formation energy is -18.72 eV/f.u. The calculation puts the mass density at 5.26 g/cm3. As for the total magnetic moment: 0.17 μB/atom.



Record 4
An optimized crystal structure of SnBiAu2, computed with GGA-PBE.

Geometry as POSCAR:
```
SnBiAu2
1.0
4.245 0.000 0.000
-2.122 3.676 0.000
0.000 0.000 19.181
Sn Bi Au
3 3 6
Cartesian
0.000 0.000 0.000 Sn
0.000 2.451 12.787 Sn
2.122 1.225 6.394 Sn
0.000 0.000 9.591 Bi
0.000 2.451 3.197 Bi
2.122 1.225 15.984 Bi
0.000 0.000 4.918 Au
0.000 0.000 14.263 Au
0.000 2.451 7.869 Au
0.000 2.451 17.706 Au
2.122 1.225 1.475 Au
2.122 1.225 11.312 Au
```

Computed properties:
The crystal system is trigonal. The calculation puts the mass density at 12.01 g/cm3. As for the formation energy: -77 meV per atom. As for the total magnetic moment: 0.00 μB/atom.